This record from Alexandria via LeMat-Bulk describes ZnSi2Mo at its PBEsol-relaxed geometry. The functional is SCAN.

Lattice parameters (Å, degrees): 3.3305 3.9840 8.1761 90.00 90.00 90.00
With the nearest neighbours (Å) after each atom.
Space group Imm2 (No. 44)
Unique sites:
Zn1 0.0000 0.0000 0.0000  8 Si 2.59-2.90, 4 Mo 2.73-2.77
Si1 0.0000 0.0000 0.5114  4 Zn 2.60, 4 Si 2.61-2.88, 4 Mo 2.61-2.88
Si2 0.0000 0.5000 0.2573  4 Zn 2.59-2.90, 4 Mo 2.60, 4 Si 2.61-2.88
Mo1 0.0000 0.5000 0.7650  8 Si 2.60-2.88, 4 Zn 2.73-2.77

Summary:
* size of the total moment: 0.00 μB per atom
* calculated total energy: -17.01 eV per atom